No. 1
DFT (SCAN) results for a PBEsol-optimized structure of Sr2GdCrCu2O8.

Unit cell a=10.886 b=5.446 c=5.503 alpha=90.00 beta=90.00 gamma=90.00
Space group Amm2 (No. 38)
Unique sites:
Sr: 0.184 0.000 0.000 [4 per cell]
Gd: 0.500 0.000 0.985 [2 per cell]
Cr: 0.000 0.000 0.531 [2 per cell]
Cu: 0.356 0.000 0.487 [4 per cell]
O: 0.000 0.240 0.736 [4 per cell]
O: 0.157 0.000 0.459 [4 per cell]
O: 0.365 0.250 0.236 [8 per cell]

As for the energy relative to the elements, uncorrected: -2349 meV/atom.


No. 2
DFT (SCAN) results for a PBEsol-optimized structure of BaZr2Pt.

Unit cell a=3.264 b=5.501 c=11.207 alpha=90.00 beta=90.00 gamma=90.00
Space group Immm (No. 71)
Unique sites:
Ba: 0.000 0.000 0.000 [2 per cell]
Zr: 0.000 0.500 0.201 [4 per cell]
Pt: 0.000 0.000 0.500 [2 per cell]

The energy relative to the lowest polymorph listed for this composition comes out at 0 meV/atom. The value obtained for the formation energy is -0.2128 eV/atom.


No. 3
DFT (SCAN) results for a PBEsol-optimized structure of La2YAl.

Unit cell a=3.777 b=5.172 c=11.980 alpha=90.00 beta=90.00 gamma=90.00
Space group Immm (No. 71)
Unique sites:
La: 0.000 0.000 0.212 [4 per cell]
Y: 0.000 0.500 0.000 [2 per cell]
Al: 0.000 0.500 0.500 [2 per cell]

The value obtained for the formation energy is -0.1727 eV/atom.


No. 4
DFT (SCAN) results for a PBEsol-optimized structure of ZrSi3Bi.

Unit cell a=5.037 b=5.037 c=5.037 alpha=90.00 beta=90.00 gamma=90.00
Space group Pm-3m (No. 221)
Unique sites:
Zr: 0.000 0.000 0.000 [1 per cell]
Si: 0.000 0.000 0.500 [3 per cell]
Bi: 0.500 0.500 0.500 [1 per cell]

As for the energy relative to the elements, uncorrected: 929 meV/atom.


No. 5
DFT (SCAN) results for a PBEsol-optimized structure of TlPdSe3.

Unit cell a=4.951 b=4.951 c=4.951 alpha=90.00 beta=90.00 gamma=90.00
Space group Pm-3m (No. 221)
Unique sites:
Tl: 0.000 0.000 0.000 [1 per cell]
Pd: 0.500 0.500 0.500 [1 per cell]
Se: 0.000 0.500 0.500 [3 per cell]

As for the energy relative to the elements, uncorrected: 135 meV/atom.


No. 6
DFT (SCAN) results for a PBEsol-optimized structure of K2CrAgRu.

Unit cell a=6.081 b=6.081 c=4.374 alpha=90.00 beta=90.00 gamma=90.00
Space group P4/mmm (No. 123)
Unique sites:
K: 0.000 0.500 0.000 [2 per cell]
Cr: 0.000 0.000 0.500 [1 per cell]
Ag: 0.500 0.500 0.500 [1 per cell]
Ru: 0.000 0.000 0.000 [1 per cell]

The value obtained for the formation energy is 1.0142 eV/atom.


No. 7
DFT (SCAN) results for a PBEsol-optimized structure of KAlSb.

Unit cell a=7.271 b=7.271 c=7.271 alpha=90.00 beta=90.00 gamma=90.00
Space group F-43m (No. 216)
Unique sites:
K: 0.000 0.000 0.000 [4 per cell]
Al: 0.250 0.250 0.250 [4 per cell]
Sb: 0.250 0.250 0.750 [4 per cell]

The energy relative to the lowest polymorph listed for this composition comes out at 647 meV/atom. As for the energy relative to the elements, uncorrected: 632 meV/atom.


No. 8
DFT (SCAN) results for a PBEsol-optimized structure of Cs2RbInBr6.

Unit cell a=11.656 b=11.656 c=11.656 alpha=90.00 beta=90.00 gamma=90.00
Space group Fm-3m (No. 225)
Unique sites:
Cs: 0.250 0.250 0.250 [8 per cell]
Rb: 0.000 0.000 0.000 [4 per cell]
In: 0.000 0.000 0.500 [4 per cell]
Br: 0.000 0.000 0.272 [24 per cell]

As for the energy relative to the elements, uncorrected: -1587 meV/atom.


Number 1: E_tot -16.777 eV per atom. Number 2: E_tot -42.998 eV per atom. Number 3: E_tot -30.624 eV per atom. Number 4: E_tot -26.936 eV per atom. Number 5: E_tot -32.938 eV per atom. Number 6: E_tot -19.233 eV per atom. Number 7: E_tot -17.148 eV per atom. Number 8: E_tot -26.237 eV per atom.